# 1
ZnCo2Si | PBE | relaxed

Computed properties:
Formation energy (no corrections) = -5.6 kJ per mole of atoms
Calculated density = 6.9 g/cm³
Symmetry = R3m

a b c (Å): 4.591 4.591 4.591
angles (deg): 49.32 49.32 49.32
Fractional positions:
Zn (0.000, 0.000, 0.000)
Co (0.568, 0.568, 0.568)
Co (0.786, 0.786, 0.786)
Si (0.198, 0.198, 0.198)

# 2
Rb3MgBi2 | PBE | relaxed

Computed properties:
Formation energy = -315 meV per atom
Calculated density = 4.1 g/cm³
Relative energy among the computed polymorphs = 0.000 eV per atom
Symmetry = Ibam

a b c (Å): 10.160 10.160 10.160
angles (deg): 125.52 71.86 136.91
Fractional positions:
Rb (0.180, 0.684, 0.864)
Rb (0.250, 0.250, 0.000)
Rb (0.320, 0.184, 0.504)
Rb (0.680, 0.816, 0.496)
Rb (0.750, 0.750, 0.000)
Rb (0.820, 0.316, 0.136)
Mg (0.250, 0.750, 0.500)
Mg (0.750, 0.250, 0.500)
Bi (0.096, 0.308, 0.405)
Bi (0.404, 0.808, 0.212)
Bi (0.596, 0.192, 0.788)
Bi (0.904, 0.692, 0.595)